(1)
NpGa3Cu | PBE | optimized geometry

## Properties
N(E_F), states/eV/f.u.: 4.25
Energy of formation from the pure elements, eV per atom: -0.106
E above lowest polymorph, eV per formula unit: 0.21

abc: 8.0632 3.6611 11.3973
angles: 90.00 90.00 90.00
Space group Pnma (No. 62)
One atom of each set of equivalent atoms:
Np: 0.0982 0.2500 0.0015 (multiplicity 4)
Ga: 0.0900 0.2500 0.4172 (multiplicity 4)
Ga: 0.1118 0.7500 0.2224 (multiplicity 4)
Ga: 0.1379 0.7500 0.7828 (multiplicity 4)
Cu: 0.1184 0.2500 0.6285 (multiplicity 4)

***

(2)
NpGa4Cu2 | PBE | optimized geometry

## Properties
N(E_F), states/eV/f.u.: 9.73
Energy of formation from the pure elements, eV per atom: -0.147

abc: 16.9813 4.3284 6.4360
angles: 90.00 90.00 90.00
Space group Pnma (No. 62)
One atom of each set of equivalent atoms:
Np: 0.1342 0.2500 0.0034 (multiplicity 4)
Ga: 0.0348 0.7500 0.8149 (multiplicity 4)
Ga: 0.0756 0.2500 0.4965 (multiplicity 4)
Ga: 0.1848 0.7500 0.3082 (multiplicity 4)
Ga: 0.1923 0.7500 0.7130 (multiplicity 4)
Cu: 0.0368 0.7500 0.2394 (multiplicity 4)
Cu: 0.2193 0.2500 0.5155 (multiplicity 4)

***

(3)
NpGa8Cu4 | PBE | optimized geometry

## Properties
N(E_F), states/eV/f.u.: 11.61
Energy of formation from the pure elements, eV per atom: -0.121

abc: 8.8708 8.8708 5.2211
angles: 90.00 90.00 90.00
Space group I4/mmm (No. 139)
One atom of each set of equivalent atoms:
Np: 0.0000 0.0000 0.0000 (multiplicity 2)
Ga: 0.0000 0.2147 0.5000 (multiplicity 8)
Ga: 0.0000 0.3452 0.0000 (multiplicity 8)
Cu: 0.2500 0.2500 0.2500 (multiplicity 8)

***

(4)
Np2Ga12Cu | PBE | optimized geometry

## Properties
N(E_F), states/eV/f.u.: 24.99
Energy of formation from the pure elements, eV per atom: -0.112

abc: 6.0972 6.0972 15.2445
angles: 90.00 90.00 90.00
Space group P4/nbm (No. 125, origin choice 2)
One atom of each set of equivalent atoms:
Np: 0.2500 0.7500 0.2419 (multiplicity 4)
Ga: 0.0002 0.9998 0.0870 (multiplicity 8)
Ga: 0.0800 0.5800 0.4285 (multiplicity 8)
Ga: 0.2500 0.2500 0.1839 (multiplicity 4)
Ga: 0.2500 0.2500 0.3420 (multiplicity 4)
Cu: 0.2500 0.7500 0.0000 (multiplicity 2)

***

(5)
Np3Ga12Cu | PBE | optimized geometry

## Properties
N(E_F), states/eV/f.u.: 27.45
Energy of formation from the pure elements, eV per atom: -0.030

abc: 4.2238 4.2238 16.2951
angles: 90.00 90.00 90.00
Space group P4/mmm (No. 123)
One atom of each set of equivalent atoms:
Np: 0.0000 0.0000 0.0000 (multiplicity 1)
Np: 0.0000 0.0000 0.2625 (multiplicity 2)
Ga: 0.0000 0.5000 0.1323 (multiplicity 4)
Ga: 0.0000 0.5000 0.3908 (multiplicity 4)
Ga: 0.5000 0.5000 0.0000 (multiplicity 1)
Ga: 0.5000 0.5000 0.2549 (multiplicity 2)
Ga: 0.5000 0.5000 0.5000 (multiplicity 1)
Cu: 0.0000 0.0000 0.5000 (multiplicity 1)

***

(6)
NpGa3Cu | PBE | optimized geometry

## Properties
N(E_F), states/eV/f.u.: 9.91
Energy of formation from the pure elements, eV per atom: -0.149
E above lowest polymorph, eV per formula unit: 0.00

abc: 4.1808 4.1808 10.4336
angles: 90.00 90.00 90.00
Space group I4mm (No. 107)
One atom of each set of equivalent atoms:
Np: 0.0000 0.0000 0.0000 (multiplicity 2)
Ga: 0.0000 0.0000 0.4096 (multiplicity 2)
Ga: 0.0000 0.5000 0.2526 (multiplicity 4)
Cu: 0.0000 0.0000 0.6342 (multiplicity 2)